Entry 1:
Entry from Alexandria: crystalline Tb3Nd5Tm at its relaxed geometry (PBE-GGA).

Geometry as POSCAR:
```
Tb3Nd5Tm
1.0
7.687 -5.989 0.000
7.687 5.989 0.000
-7.270 0.000 7.690
Tb Nd Tm
6 10 2
direct
0.000 0.000 0.000
0.004 0.004 0.337
0.494 0.494 0.826
0.500 0.500 0.500
0.506 0.506 0.174
0.996 0.996 0.663
0.234 0.751 0.159
0.244 0.756 0.500
0.249 0.766 0.841
0.253 0.253 0.760
0.254 0.254 0.085
0.746 0.746 0.915
0.747 0.747 0.240
0.751 0.234 0.159
0.756 0.244 0.500
0.766 0.249 0.841
0.251 0.251 0.414
0.749 0.749 0.586
```

Results
The space group is C2/m (12). Its excess energy over the best structure of this formula in the dataset is 6.49 kcal/mol of atoms.

---

Entry 2:
Entry from Alexandria: crystalline FeC4 at its relaxed geometry (PBE-GGA).

Geometry as POSCAR:
```
FeC4
1.0
-2.184 2.184 2.184
2.184 -2.184 2.184
2.184 2.184 -2.184
Fe C
1 4
direct
0.000 0.000 0.000
0.000 0.000 0.500
0.000 0.500 0.000
0.500 0.000 0.000
0.500 0.500 0.500
```

Results
The space group is Im-3m (229). Its excess energy over the best structure of this formula in the dataset is 50.45 kcal/mol of atoms.

---

Entry 3:
Entry from Alexandria: crystalline TaIn2Ag at its relaxed geometry (PBE-GGA).

Geometry as POSCAR:
```
TaIn2Ag
1.0
1.551 0.895 9.716
-1.551 0.895 9.716
0.000 -1.790 9.716
Ta In Ag
1 2 1
direct
0.000 0.000 0.000
0.250 0.250 0.250
0.750 0.750 0.750
0.500 0.500 0.500
```

Results
The space group is R-3m (166). Its excess energy over the best structure of this formula in the dataset is 0.58 kcal/mol of atoms.

---

Entry 4:
Entry from Alexandria: crystalline BaCd at its relaxed geometry (PBE-GGA).

Geometry as POSCAR:
```
BaCd
1.0
-6.275 6.275 2.196
6.275 -6.275 2.196
6.275 6.275 -2.196
Ba Cd
4 4
direct
0.120 0.803 0.923
0.197 0.120 0.317
0.803 0.880 0.683
0.880 0.197 0.077
0.085 0.401 0.486
0.401 0.915 0.316
0.599 0.085 0.684
0.915 0.599 0.514
```

Results
The space group is I4/m (87).

---

Entry 5:
Entry from Alexandria: crystalline LaCuP2 at its relaxed geometry (PBE-GGA).

Geometry as POSCAR:
```
LaCuP2
1.0
-2.051 2.051 4.610
2.051 -2.051 4.610
2.051 2.051 -4.610
La Cu P
1 1 2
direct
0.000 0.000 0.000
0.750 0.250 0.500
0.250 0.750 0.500
0.500 0.500 0.000
```

Results
The space group is I-4m2 (119).

---

Entry 6:
Entry from Alexandria: crystalline Pm2PrTmTl4 at its relaxed geometry (PBE-GGA).

Geometry as POSCAR:
```
Pm2PrTmTl4
1.0
2.729 1.576 8.959
-2.729 1.576 8.959
0.000 -3.152 8.959
Pm Pr Tm Tl
2 1 1 4
direct
0.249 0.249 0.249
0.751 0.751 0.751
0.000 0.000 0.000
0.500 0.500 0.500
0.127 0.127 0.127
0.377 0.377 0.377
0.623 0.623 0.623
0.873 0.873 0.873
```

Results
The space group is R-3m (166).

---

| no. | calculated formation energy (kJ per mole of atoms) | DOS at the Fermi energy (states/eV/cell) | raw total energy (eV/cell) |
| --- | --- | --- | --- |
| 1 | 53.0 | 31.73 | -74.52 |
| 2 | 263.1 | 3.54 | -31.73 |
| 3 | 17.0 | 2.85 | -19.48 |
| 4 | -7.2 | 8.03 | -11.95 |
| 5 | -28.7 | 1.47 | -21.03 |
| 6 | -34.7 | 6.42 | -31.09 |